(1)
Material: KAcAgCl5
Method: DFT, PBE
State: optimized geometry

Unit cell a=7.8522 b=7.8522 c=10.5533 alpha=102.39 beta=102.39 gamma=109.26
With the nearest neighbours (Å) after each atom.
Fractional positions:
Ag 0.6828 0.3172 0.2500  4 Cl 2.60-2.61
K 0.6417 0.3583 0.7500  5 Cl 3.17-3.32
Cl 0.9010 0.0990 0.7500  2 Ac 2.93
Cl 0.7304 0.6186 0.4406  1 Ag 2.61, 1 Ac 2.88
Cl 0.0615 0.6732 0.8725  1 Ag 2.60, 1 Ac 2.87
Cl 0.6186 0.7304 0.9406  1 Ag 2.61, 1 Ac 2.88
K 0.3583 0.6417 0.2500  5 Cl 3.17-3.32
Ag 0.3172 0.6828 0.7500  4 Cl 2.60-2.61
Cl 0.3814 0.2696 0.0594  1 Ag 2.61, 1 Ac 2.88
Cl 0.9385 0.3268 0.1275  1 Ag 2.60, 1 Ac 2.87
Cl 0.2696 0.3814 0.5594  1 Ag 2.61, 1 Ac 2.88
Cl 0.6732 0.0615 0.3725  1 Ag 2.60, 1 Ac 2.87
Ac 0.0000 0.0000 0.5000  6 Cl 2.87-2.93
Cl 0.0990 0.9010 0.2500  2 Ac 2.93
Cl 0.3268 0.9385 0.6275  1 Ag 2.60, 1 Ac 2.87
Ac 0.0000 0.0000 0.0000  6 Cl 2.87-2.93

The uncorrected formation energy is -1.803 eV per atom.



(2)
Material: Th2AlGaNi6
Method: DFT, PBE
State: optimized geometry

Unit cell a=6.2580 b=6.2587 c=6.2710 alpha=60.03 beta=59.98 gamma=90.01
With the nearest neighbours (Å) after each atom.
Fractional positions:
Ni 0.2511 0.2511 0.4978  1 Al 2.21, 1 Ga 2.23
Ni 0.2511 0.2511 0.0000  1 Al 2.20, 1 Ga 2.22
Ni 0.2511 0.7489 0.0000  1 Al 2.20, 1 Ga 2.22
Al 0.5000 0.5000 0.0000  6 Ni 2.20-2.21
Th 0.2500 0.7500 0.5000  12 Ni 3.13-3.14
Ga 0.0000 0.0000 0.0000  6 Ni 2.22-2.23
Ni 0.7489 0.2511 0.0000  1 Al 2.20, 1 Ga 2.22
Ni 0.7489 0.7489 0.0000  1 Al 2.20, 1 Ga 2.22
Th 0.7500 0.2500 0.5000  12 Ni 3.13-3.14
Ni 0.7489 0.7489 0.5022  1 Al 2.21, 1 Ga 2.23

As for the calculated total energy: -5.711 eV per atom.



(3)
Material: Cs2KRb4
Method: DFT, PBE
State: optimized geometry

Unit cell a=15.8897 b=15.8897 c=15.8897 alpha=60.00 beta=60.00 gamma=60.00
With the nearest neighbours (Å) after each atom.
Fractional positions:
K 0.1250 0.1250 0.1250  6 Rb 4.58
Cs 0.4523 0.8492 0.8492  9 Rb 5.02-5.10
Rb 0.6250 0.6250 0.1250  6 Cs 5.10, 6 Rb 5.19
Cs 0.7977 0.4008 0.4008  9 Rb 5.02-5.10
Cs 0.4008 0.4008 0.4008  9 Rb 5.02-5.10
Cs 0.4008 0.4008 0.7977  9 Rb 5.02-5.10
Rb 0.2267 0.7733 0.2267  2 K 4.58, 4 Cs 5.02-5.09
Rb 0.6250 0.6250 0.6250  6 Cs 5.10, 6 Rb 5.19
Rb 0.6250 0.1250 0.6250  6 Cs 5.10, 6 Rb 5.19
Rb 0.2267 0.2267 0.7733  2 K 4.58, 4 Cs 5.02-5.09
K 0.1250 0.6250 0.1250  6 Rb 4.58
Rb 0.4767 0.0233 0.0233  2 K 4.58, 4 Cs 5.02-5.09
K 0.1250 0.1250 0.6250  6 Rb 4.58
Rb 0.4767 0.0233 0.4767  2 K 4.58, 4 Cs 5.02-5.09
Rb 0.7733 0.2267 0.2267  2 K 4.58, 4 Cs 5.02-5.09
Cs 0.8492 0.8492 0.4523  9 Rb 5.02-5.10
Rb 0.0233 0.4767 0.4767  2 K 4.58, 4 Cs 5.02-5.09
Cs 0.4008 0.7977 0.4008  9 Rb 5.02-5.10
Cs 0.8492 0.4523 0.8492  9 Rb 5.02-5.10
Rb 0.7733 0.2267 0.7733  2 K 4.58, 4 Cs 5.02-5.09
Rb 0.0233 0.4767 0.0233  2 K 4.58, 4 Cs 5.02-5.09
Rb 0.0233 0.0233 0.4767  2 K 4.58, 4 Cs 5.02-5.09
Rb 0.7733 0.7733 0.2267  2 K 4.58, 4 Cs 5.02-5.09
Rb 0.4767 0.4767 0.0233  2 K 4.58, 4 Cs 5.02-5.09
Rb 0.2267 0.7733 0.7733  2 K 4.58, 4 Cs 5.02-5.09
K 0.6250 0.1250 0.1250  6 Rb 4.58
Cs 0.8492 0.8492 0.8492  9 Rb 5.02-5.10
Rb 0.1250 0.6250 0.6250  6 Cs 5.10, 6 Rb 5.19

The energy above the lowest structure with this stoichiometry comes out at 0 meV/atom.



(4)
Material: PmPu3Se4
Method: DFT, PBE
State: optimized geometry

Unit cell a=4.1604 b=7.2083 c=7.2083 alpha=109.44 beta=90.00 gamma=90.00
With the nearest neighbours (Å) after each atom.
Fractional positions:
Pm 0.5000 0.0000 0.0000  6 Se 2.97
Pu 0.0000 0.0000 0.5000  6 Se 2.94
Se 0.5000 0.2520 0.7480  5 Pu 2.92-2.94, 1 Pm 2.97
Pu 0.5000 0.5000 0.5000  6 Se 2.92
Se 0.0000 0.7462 0.7462  4 Pu 2.92-2.94, 2 Pm 2.97
Se 0.5000 0.7480 0.2520  5 Pu 2.92-2.94, 1 Pm 2.97
Se 0.0000 0.2538 0.2538  4 Pu 2.92-2.94, 2 Pm 2.97
Pu 0.0000 0.5000 0.0000  6 Se 2.94

The uncorrected formation energy is -1.618 eV per atom. The energy above the lowest structure with this stoichiometry comes out at 0 meV/atom.



(5)
Material: Te3Br
Method: DFT, PBE
State: optimized geometry

Unit cell a=4.3228 b=4.3228 c=8.5456 alpha=85.60 beta=85.60 gamma=59.20
With the nearest neighbours (Å) after each atom.
Fractional positions:
Te 0.5000 0.5000 0.5000  6 Te 3.09-3.14
Te 0.1857 0.1857 0.2812  1 Br 2.88, 3 Te 3.09-3.14
Te 0.8143 0.8143 0.7188  1 Br 2.88, 3 Te 3.09-3.14
Br 0.0000 0.0000 0.0000  2 Te 2.88

The uncorrected formation energy is -0.014 eV per atom. The energy above the lowest structure with this stoichiometry comes out at 88 meV/atom.



(6)
Material: Ti2NiPd6
Method: DFT, PBE
State: optimized geometry

Unit cell a=3.9926 b=5.9630 c=6.3301 alpha=83.94 beta=71.62 gamma=70.44
With the nearest neighbours (Å) after each atom.
Fractional positions:
Pd 0.6781 0.8048 0.8391  3 Ti 2.64-2.79, 1 Ni 2.66, 6 Pd 2.78-2.92
Ti 0.6471 0.5000 0.2058  8 Pd 2.55-2.79, 2 Ni 2.67
Ni 0.0000 0.5000 0.5000  8 Pd 2.66-2.71, 4 Ti 2.67
Pd 0.0172 0.8047 0.1609  3 Ti 2.64-2.79, 1 Ni 2.66, 6 Pd 2.78-2.92
Pd 0.9828 0.1953 0.8391  3 Ti 2.64-2.79, 1 Ni 2.66, 6 Pd 2.78-2.92
Pd 0.6635 0.1730 0.5000  2 Ti 2.55, 2 Ni 2.71, 6 Pd 2.79-2.86
Pd 0.3219 0.1952 0.1609  3 Ti 2.64-2.79, 1 Ni 2.66, 6 Pd 2.78-2.92
Ti 0.3529 0.5000 0.7942  8 Pd 2.55-2.79, 2 Ni 2.67
Pd 0.3365 0.8270 0.5000  2 Ti 2.55, 2 Ni 2.71, 6 Pd 2.79-2.86

The energy above the lowest structure with this stoichiometry comes out at 0 meV/atom.



(7)
Material: AcNd7Tl5
Method: DFT, PBE
State: optimized geometry

Unit cell a=6.7710 b=8.5986 c=8.5986 alpha=79.65 beta=66.81 gamma=66.81
With the nearest neighbours (Å) after each atom.
Fractional positions:
Ac 0.9851 0.0149 0.0149  10 Nd 3.76-4.16, 4 Tl 4.10
Nd 0.9952 0.3463 0.6633  5 Tl 3.38-3.53, 4 Nd 3.49-3.76, 1 Ac 3.76
Tl 0.5052 0.0010 0.4880  7 Nd 3.18-3.53, 3 Tl 3.30-3.39
Nd 0.3225 0.6775 0.6775  6 Tl 3.38-3.51, 1 Nd 3.59
Nd 0.9952 0.6633 0.3463  5 Tl 3.38-3.53, 4 Nd 3.49-3.76, 1 Ac 3.76
Tl 0.0059 0.4880 0.0010  7 Nd 3.18-3.53, 3 Tl 3.30-3.39
Tl 0.5052 0.4880 0.0010  7 Nd 3.18-3.53, 3 Tl 3.30-3.39
Nd 0.5148 0.7911 0.1794  5 Tl 3.29-3.43, 2 Nd 3.49-3.65
Nd 0.2713 0.2287 0.2287  4 Tl 3.18, 2 Nd 3.49
Nd 0.5148 0.1794 0.7911  5 Tl 3.29-3.43, 2 Nd 3.49-3.65
Tl 0.0059 0.0010 0.4880  7 Nd 3.18-3.53, 3 Tl 3.30-3.39
Tl 0.7401 0.7599 0.7599  4 Tl 3.30, 6 Nd 3.33-3.51
Nd 0.6391 0.3609 0.3609  4 Tl 3.44, 5 Nd 3.59-3.70

As for the calculated total energy: -4.009 eV per atom.



(8)
Material: CeDy2Tl5
Method: DFT, PBE
State: optimized geometry

Unit cell a=6.6721 b=6.6721 c=6.6721 alpha=106.82 beta=106.82 gamma=114.92
With the nearest neighbours (Å) after each atom.
Fractional positions:
Dy 0.7775 0.2778 0.4998  8 Tl 3.34, 2 Dy 3.59
Ce 0.7786 0.7784 0.0000  10 Tl 3.34-3.59
Tl 0.2780 0.2782 0.5004  4 Tl 3.33-3.59, 4 Dy 3.34, 2 Ce 3.34
Tl 0.7775 0.7778 0.4996  4 Tl 3.33-3.59, 4 Dy 3.34, 2 Ce 3.34
Dy 0.2777 0.7779 0.5002  8 Tl 3.34, 2 Dy 3.59
Tl 0.7779 0.2781 0.0000  4 Tl 3.33-3.59, 2 Ce 3.34, 4 Dy 3.34
Tl 0.2778 0.2775 0.0000  8 Tl 3.33-3.34, 2 Ce 3.58-3.59
Tl 0.2781 0.7774 0.0000  4 Tl 3.33-3.59, 4 Dy 3.34, 2 Ce 3.34

As for the calculated total energy: -3.597 eV per atom.



(9)
Material: Er2PuRuN4
Method: DFT, PBE
State: optimized geometry

Unit cell a=3.3189 b=5.9912 c=11.4499 alpha=90.00 beta=90.00 gamma=106.08
With the nearest neighbours (Å) after each atom.
Fractional positions:
N 0.0000 0.0000 0.0000  4 Er 2.30
Er 0.3700 0.7399 0.9544  5 N 2.30-2.53
Er 0.3700 0.7399 0.5456  5 N 2.30-2.53
N 0.2727 0.5453 0.1308  1 Ru 2.03
N 0.2727 0.5453 0.3692  1 Ru 2.03
N 0.5339 0.0677 0.2500  2 Ru 2.08
N 0.0000 0.0000 0.5000  4 Er 2.30
Er 0.6300 0.2601 0.4544  5 N 2.30-2.53
Pu 0.1175 0.2350 0.7500  6 N 2.41-2.49
N 0.4661 0.9323 0.7500  2 Ru 2.08
Er 0.6300 0.2601 0.0456  5 N 2.30-2.53
N 0.7273 0.4547 0.6308  1 Ru 2.03
Ru 0.1423 0.2846 0.2500  4 N 2.03-2.08
Ru 0.8577 0.7154 0.7500  4 N 2.03-2.08
Pu 0.8825 0.7650 0.2500  6 N 2.41-2.49
N 0.7273 0.4547 0.8692  1 Ru 2.03

The uncorrected formation energy is -0.997 eV per atom.



(10)
Material: Y3TmMg4
Method: DFT, PBE
State: optimized geometry

Unit cell a=3.7872 b=3.7872 c=15.1839 alpha=90.00 beta=90.00 gamma=90.00
With the nearest neighbours (Å) after each atom.
Fractional positions:
Mg 0.0000 0.0000 0.3744  8 Y 3.29
Mg 0.0000 0.0000 0.1223  4 Tm 3.26, 4 Y 3.29
Y 0.5000 0.5000 0.2483  8 Mg 3.29
Tm 0.5000 0.5000 0.0000  8 Mg 3.26
Mg 0.0000 0.0000 0.6256  8 Y 3.29
Y 0.5000 0.5000 0.7517  8 Mg 3.29
Mg 0.0000 0.0000 0.8777  4 Tm 3.26, 4 Y 3.29
Y 0.5000 0.5000 0.5000  8 Mg 3.29

As for the calculated total energy: -3.878 eV per atom.



(11)
Material: Pu8As4P3
Method: DFT, PBE
State: optimized geometry

Unit cell a=8.0981 b=8.0804 c=8.0804 alpha=89.99 beta=120.09 gamma=120.09
With the nearest neighbours (Å) after each atom.
Fractional positions:
P 0.5000 0.5000 0.0000  6 Pu 2.86
Pu 0.9916 0.7404 0.7404  1 P 2.81, 4 As 2.86-2.92
Pu 0.0000 0.2552 0.7448  2 P 2.86, 3 As 2.86-2.92
Pu 0.4898 0.7409 0.7409  3 P 2.81-2.86, 2 As 2.90-2.91
As 0.0000 0.0000 0.0000  6 Pu 2.91-2.92
Pu 0.5000 0.7468 0.2532  3 P 2.82-2.86, 3 As 2.86-2.89
Pu 0.5000 0.2532 0.7468  3 P 2.82-2.86, 3 As 2.86-2.89
As 0.0000 0.0000 0.5000  6 Pu 2.86
Pu 0.0084 0.2596 0.2596  1 P 2.81, 4 As 2.86-2.92
As 0.0000 0.5000 0.0000  6 Pu 2.86
P 0.5000 0.0000 0.5000  6 Pu 2.86
P 0.5000 0.5000 0.5000  6 Pu 2.81-2.82
Pu 0.0000 0.7448 0.2552  2 P 2.86, 3 As 2.86-2.92
As 0.5000 0.0000 0.0000  6 Pu 2.89-2.90
Pu 0.5102 0.2591 0.2591  3 P 2.81-2.86, 2 As 2.90-2.91

As for the calculated total energy: -10.861 eV per atom.